#1
# KTcTe2 | the Alexandria database | PBE | relaxed
# Magnetization: 0.36 μB/atom
# Fermi-level density of states: 3.408 states/eV/cell
data_KTcTe2
_chemical_formula_sum 'K1 Tc1 Te2'
_symmetry_space_group_name_H-M 'P 1 2/m 1'
_symmetry_Int_Tables_number 10
_symmetry_space_group_name_Hall '-P 2y'
_cell_length_a 3.283
_cell_length_b 4.116
_cell_length_c 8.246
_cell_angle_alpha 90.00
_cell_angle_beta 94.71
_cell_angle_gamma 90.00
loop_
_atom_site_label
_atom_site_fract_x
_atom_site_fract_y
_atom_site_fract_z
K1 0.000 0.000 0.000
Tc1 0.500 0.000 0.500
Te1 0.429 0.500 0.707

---

#2
# KTcTe2 | the Alexandria database | PBE | relaxed
# Magnetization: 0.24 μB/atom
# Fermi-level density of states: 2.667 states/eV/cell
data_KTcTe2
_chemical_formula_sum 'K1 Tc1 Te2'
_symmetry_space_group_name_H-M 'P 4/m m m'
_symmetry_Int_Tables_number 123
_symmetry_space_group_name_Hall '-P 4 2'
_cell_length_a 3.434
_cell_length_b 3.434
_cell_length_c 8.496
_cell_angle_alpha 90.00
_cell_angle_beta 90.00
_cell_angle_gamma 90.00
loop_
_atom_site_label
_atom_site_fract_x
_atom_site_fract_y
_atom_site_fract_z
K1 0.000 0.000 0.000
Tc1 0.000 0.000 0.500
Te1 0.500 0.500 0.312

---

#3
# KTcTe2 | the Alexandria database | PBE | relaxed
# Magnetization: 0.50 μB/atom
# Fermi-level density of states: 6.487 states/eV/cell
data_KTcTe2
_chemical_formula_sum 'K3 Tc3 Te6'
_symmetry_space_group_name_H-M 'R -3 m'
_symmetry_Int_Tables_number 166
_symmetry_space_group_name_Hall '-R 3 2"'
_cell_length_a 4.1000
_cell_length_b 4.1000
_cell_length_c 24.1062
_cell_angle_alpha 90.00
_cell_angle_beta 90.00
_cell_angle_gamma 120.00
loop_
_atom_site_label
_atom_site_fract_x
_atom_site_fract_y
_atom_site_fract_z
K1 0.0000 0.0000 0.0000
Tc1 0.0000 0.0000 0.5000
Te1 0.0000 0.0000 0.2270

---

#4
# KTcTe2 | the Alexandria database | PBE | relaxed
# Magnetization: 0.00 μB/atom
# Fermi-level density of states: 2.436 states/eV/cell
data_KTcTe2
_chemical_formula_sum 'K4 Tc4 Te8'
_symmetry_space_group_name_H-M 'F m -3 m'
_symmetry_Int_Tables_number 225
_symmetry_space_group_name_Hall '-F 4 2 3'
_cell_length_a 7.156
_cell_length_b 7.156
_cell_length_c 7.156
_cell_angle_alpha 90.00
_cell_angle_beta 90.00
_cell_angle_gamma 90.00
loop_
_atom_site_label
_atom_site_fract_x
_atom_site_fract_y
_atom_site_fract_z
K1 0.000 0.000 0.000
Tc1 0.000 0.000 0.500
Te1 0.250 0.250 0.250

---

How do the energies compare? Relative to the most stable structure, in kJ/mol of atoms: #1 27.2; #2 19.6; #3 0.0; #4 50.9.